A relaxed structure of SrAlAg2, computed with PBE.

Computed properties:
Energy of formation ... -0.019 eV per atom

abc: 9.532 9.532 9.532
angles: 147.94 147.94 45.97
Sites, in units of the cell vectors:
Sr (0.000, 0.000, 0.000)
Sr (0.750, 0.250, 0.500)
Al (0.250, 0.750, 0.500)
Al (0.500, 0.500, 0.000)
Ag (0.366, 0.625, 0.241)
Ag (0.375, 0.616, 0.741)
Ag (0.384, 0.125, 0.759)
Ag (0.875, 0.634, 0.259)